Below is crystalline TiCrAgS4 at its relaxed geometry, with properties calculated at the PBE-GGA level.

a b c (Å): 5.918 3.477 6.535
angles (deg): 90.00 92.58 90.00
Sites, in units of the cell vectors:
Ti  0.000  0.000  0.000
Cr  0.500  0.500  0.000
Ag  0.500  0.500  0.500
S  0.176  0.500  0.214
S  0.327  0.000  0.788
S  0.673  0.000  0.212
S  0.824  0.500  0.786

Computed properties:
As for the space group: P2/m, No. 10. For the energy above the most stable polymorph in this dataset, the calculation gives 0.012 eV per atom. The uncorrected formation energy is -5.66 eV per formula unit. Its total DFT energy (no corrections) is -0.2233 hartree per atom. The value obtained for the volume is 19.19 A^3/atom.


Below is crystalline YMgSi2 at its relaxed geometry, with properties calculated at the PBE-GGA level.

a b c (Å): 7.962 3.759 10.636
angles (deg): 90.00 90.00 90.00
Sites, in units of the cell vectors:
Y  0.128  0.250  0.146
Y  0.372  0.750  0.646
Y  0.628  0.250  0.354
Y  0.872  0.750  0.854
Mg  0.004  0.750  0.391
Mg  0.496  0.250  0.891
Mg  0.504  0.750  0.109
Mg  0.996  0.250  0.609
Si  0.164  0.250  0.818
Si  0.247  0.750  0.944
Si  0.253  0.250  0.444
Si  0.336  0.750  0.318
Si  0.664  0.250  0.682
Si  0.747  0.750  0.556
Si  0.753  0.250  0.056
Si  0.836  0.750  0.182

Computed properties:
As for the space group: Pnma, No. 62. The uncorrected formation energy is -1.76 eV per formula unit. Its total DFT energy (no corrections) is -0.1899 hartree per atom. The value obtained for the volume is 19.90 A^3/atom.


Question: What is the total DFT energy (no corrections) in the first record?
Answer: -0.2233 hartree per atom


Repeat the second record exactly.
Below is crystalline YMgSi2 at its relaxed geometry, with properties calculated at the PBE-GGA level.

a b c (Å): 7.962 3.759 10.636
angles (deg): 90.00 90.00 90.00
Sites, in units of the cell vectors:
Y  0.128  0.250  0.146
Y  0.372  0.750  0.646
Y  0.628  0.250  0.354
Y  0.872  0.750  0.854
Mg  0.004  0.750  0.391
Mg  0.496  0.250  0.891
Mg  0.504  0.750  0.109
Mg  0.996  0.250  0.609
Si  0.164  0.250  0.818
Si  0.247  0.750  0.944
Si  0.253  0.250  0.444
Si  0.336  0.750  0.318
Si  0.664  0.250  0.682
Si  0.747  0.750  0.556
Si  0.753  0.250  0.056
Si  0.836  0.750  0.182

Computed properties:
As for the space group: Pnma, No. 62. The uncorrected formation energy is -1.76 eV per formula unit. Its total DFT energy (no corrections) is -0.1899 hartree per atom. The value obtained for the volume is 19.90 A^3/atom.